1.
First-principles (PBE) data for a relaxed structure of BeFeBr2, as listed in Alexandria.

Geometry as CIF:
```
data_BeFeBr2
_cell_length_a 7.791
_cell_length_b 6.013
_cell_length_c 3.378
_cell_angle_alpha 56.36
_cell_angle_beta 114.94
_cell_angle_gamma 140.02
_symmetry_space_group_name_H-M 'P 1'
_symmetry_Int_Tables_number 1
_symmetry_space_group_name_Hall 'P 1'
loop_
_atom_site_label
_atom_site_fract_x
_atom_site_fract_y
_atom_site_fract_z
_atom_site_occupancy
Br1 0.000 0.000 0.000 1
Be1 0.500 0.500 0.000 1
Br2 0.500 0.000 0.500 1
Fe1 0.000 0.500 0.500 1
```

- uncorrected formation energy (eV per atom) = 0.546


2.
First-principles (PBE) data for a relaxed structure of BeFeBr2, as listed in Alexandria.

Geometry as CIF:
```
data_BeFeBr2
_cell_length_a 10.701
_cell_length_b 10.701
_cell_length_c 10.701
_cell_angle_alpha 17.71
_cell_angle_beta 17.71
_cell_angle_gamma 17.71
_symmetry_space_group_name_H-M 'P 1'
_symmetry_Int_Tables_number 1
_symmetry_space_group_name_Hall 'P 1'
loop_
_atom_site_label
_atom_site_fract_x
_atom_site_fract_y
_atom_site_fract_z
_atom_site_occupancy
Fe1 0.250 0.250 0.250 1
Br1 0.461 0.461 0.461 1
Be1 0.750 0.750 0.750 1
Br2 0.039 0.039 0.039 1
```

- uncorrected formation energy (eV per atom) = 0.316


3.
First-principles (PBE) data for a relaxed structure of BeFeBr2, as listed in Alexandria.

Geometry as CIF:
```
data_BeFeBr2
_cell_length_a 3.294
_cell_length_b 3.294
_cell_length_c 7.515
_cell_angle_alpha 90.00
_cell_angle_beta 90.00
_cell_angle_gamma 90.00
_symmetry_space_group_name_H-M 'P 1'
_symmetry_Int_Tables_number 1
_symmetry_space_group_name_Hall 'P 1'
loop_
_atom_site_label
_atom_site_fract_x
_atom_site_fract_y
_atom_site_fract_z
_atom_site_occupancy
Br1 0.500 0.500 0.364 1
Br2 0.000 0.000 0.888 1
Be1 0.500 0.500 0.668 1
Fe1 0.000 0.000 0.581 1
```

- uncorrected formation energy (eV per atom) = 0.145


4.
First-principles (PBE) data for a relaxed structure of BeFeBr2, as listed in Alexandria.

Geometry as CIF:
```
data_BeFeBr2
_cell_length_a 3.584
_cell_length_b 3.584
_cell_length_c 10.983
_cell_angle_alpha 90.00
_cell_angle_beta 90.00
_cell_angle_gamma 127.19
_symmetry_space_group_name_H-M 'P 1'
_symmetry_Int_Tables_number 1
_symmetry_space_group_name_Hall 'P 1'
loop_
_atom_site_label
_atom_site_fract_x
_atom_site_fract_y
_atom_site_fract_z
_atom_site_occupancy
Fe1 0.500 0.500 0.250 1
Be1 0.500 0.500 0.750 1
Br1 0.000 0.000 0.606 1
Br2 0.000 0.000 0.894 1
```

- uncorrected formation energy (eV per atom) = 0.442


5.
First-principles (PBE) data for a relaxed structure of Be3FeBr, as listed in Alexandria.

Geometry as CIF:
```
data_Be3FeBr
_cell_length_a 4.237
_cell_length_b 4.237
_cell_length_c 4.237
_cell_angle_alpha 90.00
_cell_angle_beta 90.00
_cell_angle_gamma 90.00
_symmetry_space_group_name_H-M 'P 1'
_symmetry_Int_Tables_number 1
_symmetry_space_group_name_Hall 'P 1'
loop_
_atom_site_label
_atom_site_fract_x
_atom_site_fract_y
_atom_site_fract_z
_atom_site_occupancy
Be1 0.000 0.000 0.500 1
Be2 0.500 0.000 0.000 1
Br1 0.500 0.500 0.500 1
Fe1 0.000 0.000 0.000 1
Be3 0.000 0.500 0.000 1
```

- uncorrected formation energy (eV per atom) = 1.090


6.
First-principles (PBE) data for a relaxed structure of BeFeBr2, as listed in Alexandria.

Geometry as CIF:
```
data_BeFeBr2
_cell_length_a 3.274
_cell_length_b 3.274
_cell_length_c 6.754
_cell_angle_alpha 90.00
_cell_angle_beta 90.00
_cell_angle_gamma 90.00
_symmetry_space_group_name_H-M 'P 1'
_symmetry_Int_Tables_number 1
_symmetry_space_group_name_Hall 'P 1'
loop_
_atom_site_label
_atom_site_fract_x
_atom_site_fract_y
_atom_site_fract_z
_atom_site_occupancy
Br1 0.000 0.000 0.004 1
Fe1 0.500 0.500 0.250 1
Be1 0.500 0.500 0.750 1
Br2 0.000 0.000 0.496 1
```

- uncorrected formation energy (eV per atom) = 0.713